Material: LaPrHg4
Method: DFT, PBE-GGA
State: relaxed

Results
crystal system	monoclinic
space-group type	P2/m, No. 10
electronic total energy	-2.279	eV per atom

Unit cell a=3.484 b=5.078 c=8.796 alpha=90.00 beta=90.01 gamma=90.00
Positions (direct):
Hg (0.497, 0.500, 0.168)
Hg (0.503, 0.000, 0.334)
Hg (0.497, 0.000, 0.666)
Hg (0.503, 0.500, 0.832)
La (0.000, 0.000, 0.000)
Pr (0.000, 0.500, 0.500)

Material: RbLaHg
Method: DFT, PBE-GGA
State: relaxed

Results
crystal system	cubic
energy above the most stable polymorph in this dataset	0.000	eV per atom
space-group type	F-43m, No. 216

Unit cell a=5.607 b=5.607 c=5.607 alpha=60.00 beta=60.00 gamma=60.00
Positions (direct):
Hg (0.000, 0.000, 0.000)
La (0.250, 0.250, 0.250)
Rb (0.750, 0.750, 0.750)

Material: RbLaHgSe3
Method: DFT, PBE-GGA
State: relaxed

Results
crystal system	monoclinic
space-group type	C2/m, No. 12
electronic total energy	-3.945	eV per atom

Unit cell a=9.658 b=9.658 c=9.401 alpha=103.52 beta=103.52 gamma=26.56
Positions (direct):
Hg (0.517, 0.517, 0.222)
Hg (0.483, 0.483, 0.778)
La (0.169, 0.169, 0.084)
La (0.831, 0.831, 0.916)
Rb (0.860, 0.860, 0.429)
Rb (0.140, 0.140, 0.571)
Se (0.000, 0.000, 0.000)
Se (0.333, 0.333, 0.131)
Se (0.667, 0.667, 0.297)
Se (0.500, 0.500, 0.500)
Se (0.333, 0.333, 0.703)
Se (0.667, 0.667, 0.869)

Material: RbLaHgSe3
Method: DFT, PBE-GGA
State: relaxed

Results
crystal system	monoclinic
space-group type	P2_1/m, No. 11
electronic total energy	-4.025	eV per atom

Unit cell a=8.863 b=4.426 c=10.783 alpha=90.00 beta=107.16 gamma=90.00
Positions (direct):
Hg (0.412, 0.750, 0.382)
Hg (0.588, 0.250, 0.618)
La (0.191, 0.250, 0.133)
La (0.809, 0.750, 0.867)
Rb (0.755, 0.250, 0.280)
Rb (0.245, 0.750, 0.720)
Se (0.432, 0.750, 0.143)
Se (0.969, 0.750, 0.148)
Se (0.267, 0.250, 0.445)
Se (0.733, 0.750, 0.555)
Se (0.031, 0.250, 0.852)
Se (0.568, 0.250, 0.857)

Material: RbLaHgTe3
Method: DFT, PBE-GGA
State: relaxed

Results
crystal system	monoclinic
space-group type	P2_1/m, No. 11
electronic total energy	-3.627	eV per atom

Unit cell a=9.381 b=4.677 c=11.306 alpha=90.00 beta=106.94 gamma=90.00
Positions (direct):
Hg (0.585, 0.250, 0.122)
Hg (0.415, 0.750, 0.878)
La (0.809, 0.750, 0.365)
La (0.191, 0.250, 0.635)
Rb (0.249, 0.750, 0.216)
Rb (0.751, 0.250, 0.784)
Te (0.732, 0.750, 0.054)
Te (0.035, 0.250, 0.345)
Te (0.565, 0.250, 0.366)
Te (0.435, 0.750, 0.634)
Te (0.965, 0.750, 0.655)
Te (0.268, 0.250, 0.946)

Material: RbLaHgTe3
Method: DFT, PBE-GGA
State: relaxed

Results
crystal system	monoclinic
space-group type	C2/m, No. 12
electronic total energy	-3.535	eV per atom

Unit cell a=10.683 b=10.683 c=9.792 alpha=102.17 beta=102.17 gamma=25.38
Positions (direct):
Hg (0.468, 0.468, 0.277)
Hg (0.532, 0.532, 0.723)
La (0.830, 0.830, 0.424)
La (0.170, 0.170, 0.576)
Rb (0.138, 0.138, 0.069)
Rb (0.862, 0.862, 0.931)
Te (0.500, 0.500, 0.000)
Te (0.327, 0.327, 0.197)
Te (0.674, 0.674, 0.359)
Te (0.000, 0.000, 0.500)
Te (0.326, 0.326, 0.641)
Te (0.673, 0.673, 0.803)

Material: LaScHg6
Method: DFT, PBE-GGA
State: relaxed

Results
crystal system	hexagonal
space-group type	P-6m2, No. 187
electronic total energy	-1.930	eV per atom

Unit cell a=6.638 b=6.638 c=5.002 alpha=90.00 beta=90.00 gamma=120.00
Positions (direct):
Hg (0.011, 0.506, 0.000)
Hg (0.494, 0.506, 0.000)
Hg (0.494, 0.989, 0.000)
Hg (0.347, 0.173, 0.500)
Hg (0.827, 0.173, 0.500)
Hg (0.827, 0.653, 0.500)
La (0.000, 0.000, 0.000)
Sc (0.333, 0.667, 0.500)

Material: LaScHg
Method: DFT, PBE-GGA
State: relaxed

Results
crystal system	tetragonal
energy above the most stable polymorph in this dataset	0.000	eV per atom
space-group type	P4/nmm, No. 129

Unit cell a=4.764 b=4.764 c=7.492 alpha=90.00 beta=90.00 gamma=90.00
Positions (direct):
Hg (0.000, 0.500, 0.278)
Hg (0.500, 0.000, 0.722)
La (0.500, 0.000, 0.135)
La (0.000, 0.500, 0.865)
Sc (0.000, 0.000, 0.500)
Sc (0.500, 0.500, 0.500)

Material: LaSiHg
Method: DFT, PBE-GGA
State: relaxed

Results
crystal system	cubic
space-group type	F-43m, No. 216
electronic total energy	-3.732	eV per atom

Unit cell a=4.905 b=4.905 c=4.905 alpha=60.00 beta=60.00 gamma=60.00
Positions (direct):
Hg (0.000, 0.000, 0.000)
La (0.250, 0.250, 0.250)
Si (0.750, 0.750, 0.750)

Material: LaSiHg
Method: DFT, PBE-GGA
State: relaxed

Results
crystal system	monoclinic
space-group type	C2/m, No. 12
electronic total energy	-4.148	eV per atom

Unit cell a=8.929 b=8.929 c=3.999 alpha=90.09 beta=90.09 gamma=27.98
Positions (direct):
Hg (0.291, 0.291, 0.250)
Hg (0.709, 0.709, 0.750)
La (0.100, 0.100, 0.251)
La (0.900, 0.900, 0.749)
Si (0.462, 0.462, 0.250)
Si (0.538, 0.538, 0.750)

Material: La2Si3Hg2
Method: DFT, PBE-GGA
State: relaxed

Results
crystal system	trigonal
space-group type	R3m, No. 160
electronic total energy	-3.996	eV per atom

Unit cell a=9.490 b=9.490 c=9.490 alpha=28.27 beta=28.27 gamma=28.27
Positions (direct):
Hg (0.001, 0.001, 0.001)
Hg (0.500, 0.500, 0.500)
La (0.249, 0.249, 0.249)
La (0.751, 0.751, 0.751)
Si (0.375, 0.375, 0.375)
Si (0.639, 0.639, 0.639)
Si (0.859, 0.859, 0.859)

Material: LaSmHg4
Method: DFT, PBE-GGA
State: relaxed

Results
crystal system	monoclinic
space-group type	P2/m, No. 10
electronic total energy	-2.256	eV per atom

Unit cell a=3.461 b=5.043 c=8.748 alpha=90.00 beta=90.01 gamma=90.00
Positions (direct):
Hg (0.497, 0.500, 0.170)
Hg (0.503, 0.000, 0.336)
Hg (0.497, 0.000, 0.664)
Hg (0.503, 0.500, 0.830)
La (0.000, 0.000, 0.000)
Sm (0.000, 0.500, 0.500)